[1]
Cs2HfPbSe4: optimized geometry, PBE-GGA.

The calculation puts the uncorrected formation energy at -1.13 eV per atom. Its total energy is -76.69 eV/cell. The volume is 43.738 Å³/atom. The symmetry is Fddd.

a b c (Å): 14.6493 13.0465 8.4489
angles (deg): 82.97 62.11 34.92
Last column: nearest neighbours and their distance in Å.
Sites, in units of the cell vectors:
Cs  0.0569  0.0569  0.6931  6 Se 3.79-4.09
Cs  0.3069  0.3069  0.9431  6 Se 3.79-4.09
Cs  0.6931  0.6931  0.0569  6 Se 3.79-4.09
Cs  0.9431  0.9431  0.3069  6 Se 3.79-4.09
Hf  0.1250  0.1250  0.1250  4 Se 2.52
Hf  0.8750  0.8750  0.8750  4 Se 2.52
Pb  0.3750  0.3750  0.3750  4 Se 2.96
Pb  0.6250  0.6250  0.6250  4 Se 2.96
Se  0.0720  0.2896  0.3702  1 Hf 2.52
Se  0.2318  0.6298  0.7104  1 Hf 2.52
Se  0.2896  0.0720  0.7682  1 Hf 2.52
Se  0.3702  0.7682  0.0720  1 Hf 2.52
Se  0.6298  0.2318  0.9280  1 Hf 2.52
Se  0.7104  0.9280  0.2318  1 Hf 2.52
Se  0.7682  0.3702  0.2896  1 Hf 2.52
Se  0.9280  0.7104  0.6298  1 Hf 2.52

[2]
Cs3HfPb2Se6: optimized geometry, PBE-GGA.

The calculation puts the uncorrected formation energy at -0.99 eV per atom. Its total energy is -52.78 eV/cell. The volume is 33.726 Å³/atom. The symmetry is C2/m.

a b c (Å): 7.5110 7.5110 8.6436
angles (deg): 98.29 98.29 119.92
Last column: nearest neighbours and their distance in Å.
Sites, in units of the cell vectors:
Cs  0.0000  0.0000  0.0000  6 Se 3.54-3.78
Cs  0.3233  0.6767  0.0000  6 Se 3.54-3.72
Cs  0.6767  0.3233  0.0000  6 Se 3.54-3.72
Hf  0.5000  0.5000  0.5000  6 Se 2.72-2.73
Pb  0.1654  0.8346  0.5000  6 Se 3.05-3.07
Pb  0.8346  0.1654  0.5000  6 Se 3.05-3.07
Se  0.1397  0.4387  0.3153  1 Hf 2.72
Se  0.2658  0.2658  0.6891  1 Hf 2.73
Se  0.4387  0.1397  0.3153  1 Hf 2.72
Se  0.5613  0.8603  0.6847  1 Hf 2.72
Se  0.7342  0.7342  0.3109  1 Hf 2.73
Se  0.8603  0.5613  0.6847  1 Hf 2.72